w:
The following is a DFT calculation (PBE) of a relaxed Er2GeTe crystal.

Cell and atoms, written as POSCAR:
```
Er2GeTe
1.0
-0.008 4.973 1.137
-4.406 -2.553 -0.311
0.354 -1.309 5.728
Er Te Ge
2 1 1
Direct
0.000 0.000 0.437 Er
0.667 0.333 0.938 Er
0.667 0.333 0.438 Te
0.000 0.000 0.937 Ge
```

Calculated values
ρ: 6.693 g cm⁻³
DOS at the Fermi energy: 1.05 states/eV/cell
Symmetry: P-6m2 (187)

=====

x:
The following is a DFT calculation (PBE) of a relaxed Er2GeTe crystal.

Cell and atoms, written as POSCAR:
```
Er2GeTe
1.0
-2.743 2.933 1.200
-2.409 -0.638 3.370
3.310 3.764 5.685
Er Ge Te
2 1 1
Direct
0.262 0.262 0.214 Er
0.071 0.071 0.786 Er
0.668 0.668 0.995 Ge
0.499 0.499 0.504 Te
```

Calculated values
ρ: 8.126 g cm⁻³
DOS at the Fermi energy: 0.56 states/eV/cell
Symmetry: R3m (160)

=====

Stability check: which of them is most stable? x.

=====

w:
The following is a DFT calculation (PBE) of a relaxed Er3GeTe2 crystal.

Cell and atoms, written as POSCAR:
```
Er3GeTe2
1.0
-2.560 0.878 6.894
1.155 -7.203 -1.280
12.657 4.316 1.485
Ge Te Er
4 8 12
Direct
0.916 0.916 0.833 Ge
0.166 0.666 0.333 Ge
0.084 0.084 0.167 Ge
0.334 0.834 0.667 Ge
0.253 0.253 0.507 Te
0.503 0.003 0.007 Te
0.420 0.420 0.839 Te
0.670 0.170 0.339 Te
0.580 0.580 0.161 Te
0.830 0.330 0.661 Te
0.997 0.497 0.993 Te
0.747 0.747 0.493 Te
0.162 0.688 0.823 Er
0.661 0.135 0.823 Er
0.029 0.529 0.500 Er
0.088 0.062 0.677 Er
0.865 0.339 0.177 Er
0.589 0.615 0.677 Er
0.385 0.411 0.323 Er
0.221 0.221 0.000 Er
0.938 0.912 0.323 Er
0.779 0.779 0.000 Er
0.312 0.838 0.177 Er
0.471 0.971 0.500 Er
```

Calculated values
ρ: 8.344 g cm⁻³
DOS at the Fermi energy: 6.68 states/eV/cell
Symmetry: Fddd (70)

=====

x:
The following is a DFT calculation (PBE) of a relaxed Er3GeTe2 crystal.

Cell and atoms, written as POSCAR:
```
Er3GeTe2
1.0
-2.280 -6.697 1.967
4.961 -1.831 -5.163
2.347 2.499 6.547
Te Er Ge
4 6 2
Direct
0.750 0.760 0.240 Te
0.750 0.081 0.919 Te
0.250 0.919 0.081 Te
0.250 0.240 0.760 Te
0.493 0.642 0.788 Er
0.000 0.500 0.000 Er
0.993 0.788 0.642 Er
0.500 0.000 0.500 Er
0.007 0.212 0.358 Er
0.507 0.358 0.212 Er
0.750 0.409 0.591 Ge
0.250 0.591 0.409 Ge
```

Calculated values
ρ: 8.362 g cm⁻³
DOS at the Fermi energy: 2.70 states/eV/cell
Symmetry: C2/c (15)

=====

Stability check: which of them is most stable? w.

=====

w:
The following is a DFT calculation (PBE) of a relaxed ErUGe2 crystal.

Cell and atoms, written as POSCAR:
```
ErUGe2
1.0
-1.910 3.945 1.413
-2.978 -0.012 3.513
2.172 1.996 4.866
Ge U Er
2 1 1
Direct
0.249 0.249 0.252 Ge
0.751 0.751 0.748 Ge
0.500 0.500 0.500 U
0.000 0.000 0.000 Er
```

Calculated values
ρ: 9.894 g cm⁻³
DOS at the Fermi energy: 8.67 states/eV/cell
Symmetry: R-3m (166)

=====

x:
The following is a DFT calculation (PBE) of a relaxed ErUGe2 crystal.

Cell and atoms, written as POSCAR:
```
ErUGe2
1.0
3.302 0.000 0.000
0.000 3.302 0.000
0.000 0.000 7.936
Ge U Er
2 1 1
Direct
0.000 0.000 0.251 Ge
0.000 0.000 0.749 Ge
0.500 0.500 0.000 U
0.500 0.500 0.500 Er
```

Calculated values
ρ: 10.568 g cm⁻³
DOS at the Fermi energy: 6.98 states/eV/cell
Symmetry: P4/mmm (123)

=====

Stability check: which of them is most stable? x.

=====

w:
The following is a DFT calculation (PBE) of a relaxed YErGe crystal.

Cell and atoms, written as POSCAR:
```
YErGe
1.0
6.152 0.179 0.701
-0.374 7.827 1.166
-0.693 -0.975 6.325
Er Y Ge
4 4 4
Direct
0.383 0.253 0.000 Er
0.881 0.394 0.247 Er
0.617 0.747 0.000 Er
0.119 0.606 0.753 Er
0.880 0.101 0.752 Y
0.385 0.253 0.501 Y
0.615 0.747 0.499 Y
0.120 0.899 0.248 Y
0.310 0.944 0.753 Ge
0.302 0.558 0.247 Ge
0.690 0.056 0.247 Ge
0.698 0.442 0.753 Ge
```

Calculated values
ρ: 6.914 g cm⁻³
DOS at the Fermi energy: 7.13 states/eV/cell
Symmetry: P-1 (2)

=====

x:
The following is a DFT calculation (PBE) of a relaxed YErGe crystal.

Cell and atoms, written as POSCAR:
```
YErGe
1.0
4.863 0.000 0.000
2.432 4.212 0.000
2.432 1.404 3.971
Ge Er Y
1 1 1
Direct
0.250 0.250 0.250 Ge
0.500 0.500 0.500 Er
0.000 0.000 0.000 Y
```

Calculated values
ρ: 6.712 g cm⁻³
DOS at the Fermi energy: 2.82 states/eV/cell
Symmetry: F-43m (216)

=====

Stability check: which of them is most stable? w.

=====

w:
The following is a DFT calculation (PBE) of a relaxed ErZn2Ge crystal.

Cell and atoms, written as POSCAR:
```
ErZn2Ge
1.0
-1.991 3.913 -0.398
-1.149 -0.185 3.935
3.476 1.881 1.103
Ge Zn Er
1 2 1
Direct
0.500 0.000 0.000 Ge
0.000 0.500 0.000 Zn
0.000 0.000 0.500 Zn
0.500 0.500 0.500 Er
```

Calculated values
ρ: 8.294 g cm⁻³
DOS at the Fermi energy: 0.61 states/eV/cell
Symmetry: P4/mmm (123)

=====

x:
The following is a DFT calculation (PBE) of a relaxed ErZn2Ge crystal.

Cell and atoms, written as POSCAR:
```
ErZn2Ge
1.0
3.130 0.000 0.000
1.565 2.711 0.000
1.565 0.904 10.153
Ge Zn Er
1 2 1
Direct
0.500 0.500 0.500 Ge
0.096 0.096 0.711 Zn
0.904 0.904 0.289 Zn
0.000 0.000 0.000 Er
```

Calculated values
ρ: 7.146 g cm⁻³
DOS at the Fermi energy: 2.38 states/eV/cell
Symmetry: R-3m (166)

=====

Stability check: which of them is most stable? w.

=====

w:
The following is a DFT calculation (PBE) of a relaxed Er2Zn3Ge crystal.

Cell and atoms, written as POSCAR:
```
Er2Zn3Ge
1.0
5.457 0.329 -1.346
-1.842 5.147 -1.346
-0.222 -0.337 8.360
Zn Er Ge
6 4 2
Direct
0.165 0.165 0.330 Zn
0.835 0.835 0.670 Zn
0.833 0.332 0.164 Zn
0.668 0.167 0.836 Zn
0.332 0.833 0.164 Zn
0.167 0.668 0.836 Zn
0.750 0.250 0.500 Er
0.753 0.753 0.000 Er
0.247 0.247 0.000 Er
0.250 0.750 0.500 Er
0.333 0.333 0.667 Ge
0.667 0.667 0.333 Ge
```

Calculated values
ρ: 8.522 g cm⁻³
DOS at the Fermi energy: 7.12 states/eV/cell
Symmetry: Fmmm (69)

=====

x:
The following is a DFT calculation (PBE) of a relaxed Er2Zn3Ge crystal.

Cell and atoms, written as POSCAR:
```
Er2Zn3Ge
1.0
3.608 0.000 0.000
0.000 4.365 0.000
0.000 0.000 7.531
Er Zn Ge
2 3 1
Direct
0.000 0.000 0.493 Er
0.000 0.500 0.007 Er
0.500 0.500 0.675 Zn
0.500 0.000 0.158 Zn
0.500 0.000 0.828 Zn
0.500 0.500 0.338 Ge
```

Calculated values
ρ: 8.449 g cm⁻³
DOS at the Fermi energy: 2.93 states/eV/cell
Symmetry: Pmm2 (25)

=====

Stability check: which of them is most stable? w.